1.
A plane-wave DFT calculation with PBE was carried out for crystalline SrRhO3 at its relaxed geometry.

Unit cell a=5.673 b=7.960 c=5.609 alpha=90.00 beta=90.00 gamma=90.00
Fractional positions:
Sr  0.043  0.250  0.008
Sr  0.457  0.750  0.508
Sr  0.543  0.250  0.492
Sr  0.957  0.750  0.992
Rh  0.000  0.000  0.500
Rh  0.000  0.500  0.500
Rh  0.500  0.000  0.000
Rh  0.500  0.500  0.000
O  0.016  0.750  0.424
O  0.207  0.539  0.794
O  0.207  0.961  0.794
O  0.293  0.039  0.294
O  0.293  0.461  0.294
O  0.484  0.250  0.924
O  0.516  0.750  0.076
O  0.707  0.539  0.706
O  0.707  0.961  0.706
O  0.793  0.039  0.206
O  0.793  0.461  0.206
O  0.984  0.250  0.576

Results
raw formation energy = -1.5993 eV per atom

2.
A plane-wave DFT calculation with PBE was carried out for crystalline Sr3Li3Pt2 at its relaxed geometry.

Unit cell a=6.035 b=6.035 c=17.155 alpha=90.00 beta=90.00 gamma=138.12
Fractional positions:
Sr  0.054  0.946  0.608
Sr  0.054  0.946  0.892
Sr  0.337  0.663  0.750
Sr  0.663  0.337  0.250
Sr  0.946  0.054  0.108
Sr  0.946  0.054  0.392
Li  0.319  0.681  0.533
Li  0.319  0.681  0.967
Li  0.357  0.643  0.250
Li  0.643  0.357  0.750
Li  0.681  0.319  0.033
Li  0.681  0.319  0.467
Pt  0.238  0.762  0.119
Pt  0.238  0.762  0.381
Pt  0.762  0.238  0.619
Pt  0.762  0.238  0.881

Results
electronic total energy = -3.352 eV per atom

3.
A plane-wave DFT calculation with PBE was carried out for crystalline NaLi4Np3O12 at its relaxed geometry.

Unit cell a=7.088 b=7.088 c=7.088 alpha=106.77 beta=106.77 gamma=106.77
Fractional positions:
Na  0.000  0.000  0.000
Li  0.062  0.500  0.938
Li  0.500  0.500  0.500
Li  0.500  0.938  0.062
Li  0.938  0.062  0.500
Np  0.000  0.557  0.443
Np  0.443  0.000  0.557
Np  0.557  0.443  0.000
O  0.045  0.638  0.743
O  0.109  0.891  0.500
O  0.257  0.362  0.955
O  0.334  0.666  0.500
O  0.362  0.955  0.257
O  0.500  0.109  0.891
O  0.500  0.334  0.666
O  0.638  0.743  0.045
O  0.666  0.500  0.334
O  0.743  0.045  0.638
O  0.891  0.500  0.109
O  0.955  0.257  0.362

Results
raw formation energy = -2.4098 eV per atom

4.
A plane-wave DFT calculation with PBE was carried out for crystalline RbNa2Tl2In2 at its relaxed geometry.

Unit cell a=5.630 b=5.630 c=10.122 alpha=98.63 beta=98.63 gamma=49.46
Fractional positions:
Rb  0.000  0.000  0.000
Na  0.428  0.428  0.331
Na  0.572  0.572  0.669
Tl  0.284  0.284  0.758
Tl  0.716  0.716  0.242
In  0.144  0.144  0.444
In  0.856  0.856  0.556

Results
electronic total energy = -2.063 eV per atom

5.
A plane-wave DFT calculation with PBE was carried out for crystalline Ti2AgTe4 at its relaxed geometry.

Unit cell a=7.842 b=7.842 c=6.942 alpha=115.46 beta=115.46 gamma=28.66
Fractional positions:
Ti  0.247  0.247  0.286
Ti  0.753  0.753  0.714
Ag  0.000  0.000  0.000
Te  0.119  0.119  0.469
Te  0.358  0.358  0.031
Te  0.642  0.642  0.969
Te  0.881  0.881  0.531

Results
raw formation energy = -0.5426 eV per atom
energy above the most stable polymorph in this dataset = 0.00 eV/f.u.

6.
A plane-wave DFT calculation with PBE was carried out for crystalline KTiPb2 at its relaxed geometry.

Unit cell a=3.349 b=3.349 c=9.722 alpha=90.00 beta=90.00 gamma=90.00
Fractional positions:
K  0.000  0.000  0.000
Ti  0.000  0.000  0.500
Pb  0.500  0.500  0.291
Pb  0.500  0.500  0.709

Results
energy above the most stable polymorph in this dataset = 0.00 eV/f.u.

7.
A plane-wave DFT calculation with PBE was carried out for crystalline SmScOsO6 at its relaxed geometry.

Unit cell a=5.310 b=5.310 c=9.979 alpha=90.00 beta=90.00 gamma=120.00
Fractional positions:
Sm  0.000  0.000  0.000
Sm  0.000  0.000  0.500
Sc  0.333  0.667  0.250
Sc  0.667  0.333  0.750
Os  0.333  0.667  0.750
Os  0.667  0.333  0.250
O  0.024  0.370  0.641
O  0.024  0.654  0.859
O  0.346  0.370  0.859
O  0.346  0.976  0.641
O  0.370  0.024  0.141
O  0.370  0.346  0.359
O  0.630  0.654  0.641
O  0.630  0.976  0.859
O  0.654  0.024  0.359
O  0.654  0.630  0.141
O  0.976  0.346  0.141
O  0.976  0.630  0.359

Results
raw formation energy = -2.3618 eV per atom

8.
A plane-wave DFT calculation with PBE was carried out for crystalline Pa2GaCu at its relaxed geometry.

Unit cell a=6.109 b=6.109 c=6.109 alpha=120.33 beta=90.33 gamma=119.29
Fractional positions:
Pa  0.265  0.000  0.765
Pa  0.265  0.500  0.265
Pa  0.735  0.000  0.235
Pa  0.735  0.500  0.735
Ga  0.220  0.470  0.750
Ga  0.780  0.530  0.250
Cu  0.219  0.969  0.250
Cu  0.781  0.031  0.750

Results
energy above the most stable polymorph in this dataset = 0.04 eV/f.u.

| no. | theoretical density (Mg/m³) | total moment (μB per formula unit) |
| --- | --- | --- |
| 1 | 6.25 | 1.02 |
| 2 | 5.37 | 0.00 |
| 3 | 5.31 | 2.00 |
| 4 | 5.32 | 0.00 |
| 5 | 6.46 | 1.14 |
| 6 | 7.63 | 0.74 |
| 7 | 6.56 | 2.01 |
| 8 | 12.23 | 0.02 |